Record 1
This record from Alexandria describes a relaxed SrCuAs2 crystal. The functional is PBE.

Cell lengths 5.205, 5.205, 5.205 Å; angles 133.08, 105.90, 92.46 degrees
Atoms (fractional coordinates):
As 0.927 0.927 0.000
As 0.573 0.573 0.000
Cu 0.750 0.250 0.500
Sr 0.250 0.750 0.500

density of states at the Fermi level	1.58	states/eV/f.u.
size of the total moment	0.000	μB/atom

---

Record 2
This record from Alexandria describes a relaxed SrCuAs crystal. The functional is PBE.

Cell lengths 5.164, 5.164, 5.163 Å; angles 130.81, 130.82, 72.12 degrees
Atoms (fractional coordinates):
As 0.027 0.027 0.000
Cu 0.306 0.306 0.000
Sr 0.667 0.667 0.000

density of states at the Fermi level	0.29	states/eV/f.u.
size of the total moment	0.000	μB/atom

---

Record 3
This record from Alexandria describes a relaxed SrCuAs4 crystal. The functional is PBE.

Cell lengths 5.684, 5.684, 5.684 Å; angles 60.00, 60.00, 60.00 degrees
Atoms (fractional coordinates):
Sr 0.000 0.000 0.000
Cu 0.750 0.750 0.750
As 0.865 0.378 0.378
As 0.378 0.378 0.865
As 0.378 0.865 0.378
As 0.378 0.378 0.378

density of states at the Fermi level	3.11	states/eV/f.u.
size of the total moment	0.000	μB/atom

---

Record 4
This record from Alexandria describes a relaxed SrCuAs3 crystal. The functional is PBE.

Cell lengths 4.869, 4.869, 4.869 Å; angles 90.00, 90.00, 90.00 degrees
Atoms (fractional coordinates):
Sr 0.500 0.500 0.500
As 0.000 0.500 0.000
As 0.000 0.000 0.500
As 0.500 0.000 0.000
Cu 0.000 0.000 0.000

density of states at the Fermi level	3.07	states/eV/f.u.
ΔE to the lowest computed polymorph	0.00	kJ per mole of atoms
size of the total moment	0.000	μB/atom

---

Record 5
This record from Alexandria describes a relaxed SrCuAs2 crystal. The functional is PBE.

Cell lengths 7.649, 4.473, 4.262 Å; angles 89.89, 56.29, 126.20 degrees
Atoms (fractional coordinates):
As 0.000 0.000 0.000
As 0.500 0.000 0.500
Cu 0.000 0.500 0.500
Sr 0.500 0.500 0.000

density of states at the Fermi level	1.80	states/eV/f.u.
size of the total moment	0.000	μB/atom

---

Record 6
This record from Alexandria describes a relaxed SrCuAs2 crystal. The functional is PBE.

Cell lengths 5.595, 5.595, 5.595 Å; angles 135.02, 135.02, 65.50 degrees
Atoms (fractional coordinates):
As 0.000 0.000 0.000
As 0.250 0.750 0.500
Cu 0.500 0.500 0.000
Sr 0.750 0.250 0.500

density of states at the Fermi level	2.43	states/eV/f.u.
size of the total moment	0.000	μB/atom

---

Record 7
This record from Alexandria describes a relaxed Sr2UCu2As4 crystal. The functional is PBE.

Cell lengths 4.101, 7.288, 7.706 Å; angles 109.51, 105.43, 90.00 degrees
Atoms (fractional coordinates):
Sr 0.138 0.584 0.277
Sr 0.862 0.416 0.723
U 0.000 0.000 0.000
Cu 0.678 0.984 0.357
Cu 0.322 0.016 0.643
As 0.199 0.189 0.397
As 0.801 0.811 0.603
As 0.512 0.747 0.024
As 0.488 0.253 0.976

density of states at the Fermi level	2.67	states/eV/f.u.
size of the total moment	0.028	μB/atom

---

Record 8
This record from Alexandria describes a relaxed Sr2ZnCu3As4 crystal. The functional is PBE.

Cell lengths 4.359, 4.359, 10.327 Å; angles 90.00, 90.00, 90.00 degrees
Atoms (fractional coordinates):
Sr 0.500 0.000 0.245
Sr 0.000 0.500 0.755
Zn 0.500 0.500 0.500
Cu 0.000 0.000 0.500
Cu 0.500 0.000 0.877
Cu 0.000 0.500 0.123
As 0.500 0.500 0.000
As 0.000 0.000 0.000
As 0.500 0.000 0.638
As 0.000 0.500 0.362

density of states at the Fermi level	2.46	states/eV/f.u.
size of the total moment	0.000	μB/atom

---

Record 9
This record from Alexandria describes a relaxed TaCuAs3 crystal. The functional is PBE.

Cell lengths 4.973, 4.973, 4.973 Å; angles 90.00, 90.00, 90.00 degrees
Atoms (fractional coordinates):
As 0.000 0.500 0.000
As 0.000 0.000 0.500
As 0.500 0.000 0.000
Cu 0.500 0.500 0.500
Ta 0.000 0.000 0.000

density of states at the Fermi level	5.09	states/eV/f.u.
ΔE to the lowest computed polymorph	0.00	kJ per mole of atoms
size of the total moment	0.000	μB/atom

---

Record 10
This record from Alexandria describes a relaxed Ta3CuAs crystal. The functional is PBE.

Cell lengths 4.711, 4.711, 4.711 Å; angles 90.00, 90.00, 90.00 degrees
Atoms (fractional coordinates):
As 0.000 0.000 0.000
Cu 0.500 0.500 0.500
Ta 0.000 0.500 0.000
Ta 0.000 0.000 0.500
Ta 0.500 0.000 0.000

density of states at the Fermi level	7.36	states/eV/f.u.
ΔE to the lowest computed polymorph	0.00	kJ per mole of atoms
size of the total moment	0.000	μB/atom

---

Record 11
This record from Alexandria describes a relaxed Ta2CuAs crystal. The functional is PBE.

Cell lengths 3.689, 3.471, 5.242 Å; angles 70.98, 90.00, 90.00 degrees
Atoms (fractional coordinates):
As 0.000 0.695 0.484
Cu 0.500 0.552 0.774
Ta 0.000 0.968 0.945
Ta 0.500 0.286 0.297

density of states at the Fermi level	1.58	states/eV/f.u.
size of the total moment	0.000	μB/atom

---

Record 12
This record from Alexandria describes a relaxed Ta2CuAs crystal. The functional is PBE.

Cell lengths 2.963, 2.963, 7.538 Å; angles 90.00, 90.00, 102.27 degrees
Atoms (fractional coordinates):
As 0.500 0.500 0.250
Cu 0.500 0.500 0.750
Ta 0.000 0.000 0.996
Ta 0.000 0.000 0.504

density of states at the Fermi level	1.95	states/eV/f.u.
size of the total moment	0.000	μB/atom

---

In eV/atom, the calculated total energy values for the records above are, in order, -4.19, -3.73, -4.07, -4.08, -3.96, -3.87, -5.34, -4.10, -5.37, -7.72, -8.28, -8.04.